(1)
{
  "formula": "HfMnNb",
  "functional": "PBE-GGA",
  "state": "optimized geometry",
  "delta_e_f_ev_per_atom": -0.08,
  "e_tot_ev_per_atom": -9.81,
  "de_polymorph_mev_per_atom": 31.4,
  "dos_at_fermi_per_ev_cell": 2.912,
  "lattice": [[-1.575, 1.575, 5.054], [1.575, -1.575, 5.054], [1.575, 1.575, -5.054]],
  "species": ["Hf", "Mn", "Nb"],
  "frac_coords": [[0.000, 0.000, 0.000], [0.664, 0.664, 0.000], [0.304, 0.304, 0.000]]
}

(2)
{
  "formula": "HfMn2Nb2",
  "functional": "PBE-GGA",
  "state": "optimized geometry",
  "delta_e_f_ev_per_atom": 0.12,
  "e_tot_ev_per_atom": -9.57,
  "dos_at_fermi_per_ev_cell": 13.890,
  "lattice": [[7.130, 0.000, 0.000], [0.000, 7.130, 0.000], [0.000, 0.000, 3.266]],
  "species": ["Hf", "Hf", "Mn", "Mn", "Mn", "Mn", "Nb", "Nb", "Nb", "Nb"],
  "frac_coords": [[0.000, 0.000, 0.000], [0.500, 0.500, 0.000], [0.121, 0.379, 0.000], [0.379, 0.879, 0.000], [0.621, 0.121, 0.000], [0.879, 0.621, 0.000], [0.178, 0.678, 0.500], [0.322, 0.178, 0.500], [0.678, 0.822, 0.500], [0.822, 0.322, 0.500]]
}

(3)
{
  "formula": "Hf4MnNb",
  "functional": "PBE-GGA",
  "state": "optimized geometry",
  "delta_e_f_ev_per_atom": 0.26,
  "e_tot_ev_per_atom": -9.58,
  "dos_at_fermi_per_ev_cell": 6.480,
  "lattice": [[5.024, -1.548, 0.000], [5.024, 1.548, 0.000], [-3.439, 0.000, 7.940]],
  "species": ["Hf", "Hf", "Hf", "Hf", "Mn", "Nb"],
  "frac_coords": [[0.125, 0.125, 0.363], [0.332, 0.332, 0.174], [0.668, 0.668, 0.826], [0.875, 0.875, 0.637], [0.500, 0.500, 0.500], [0.000, 0.000, 0.000]]
}

(4)
{
  "formula": "HfMn5Nb4",
  "functional": "PBE-GGA",
  "state": "optimized geometry",
  "delta_e_f_ev_per_atom": -0.13,
  "e_tot_ev_per_atom": -9.74,
  "dos_at_fermi_per_ev_cell": 6.507,
  "lattice": [[3.084, 0.000, 0.000], [0.000, 3.084, 0.000], [0.000, 0.000, 15.453]],
  "species": ["Hf", "Mn", "Mn", "Mn", "Mn", "Mn", "Nb", "Nb", "Nb", "Nb"],
  "frac_coords": [[0.000, 0.000, 0.000], [0.500, 0.500, 0.107], [0.500, 0.500, 0.303], [0.500, 0.500, 0.500], [0.500, 0.500, 0.697], [0.500, 0.500, 0.893], [0.000, 0.000, 0.201], [0.000, 0.000, 0.401], [0.000, 0.000, 0.599], [0.000, 0.000, 0.799]]
}

(5)
{
  "formula": "HfMn4Nb",
  "functional": "PBE-GGA",
  "state": "optimized geometry",
  "delta_e_f_ev_per_atom": -0.20,
  "e_tot_ev_per_atom": -9.65,
  "dos_at_fermi_per_ev_cell": 6.420,
  "lattice": [[0.000, 3.459, 3.459], [3.459, 0.000, 3.459], [3.459, 3.459, 0.000]],
  "species": ["Hf", "Mn", "Mn", "Mn", "Mn", "Nb"],
  "frac_coords": [[0.000, 0.000, 0.000], [0.125, 0.625, 0.625], [0.625, 0.125, 0.625], [0.625, 0.625, 0.125], [0.625, 0.625, 0.625], [0.250, 0.250, 0.250]]
}

(6)
{
  "formula": "HfMnNb",
  "functional": "PBE-GGA",
  "state": "optimized geometry",
  "delta_e_f_ev_per_atom": -0.11,
  "e_tot_ev_per_atom": -9.84,
  "de_polymorph_mev_per_atom": 0.0,
  "dos_at_fermi_per_ev_cell": 5.182,
  "lattice": [[-2.618, 2.757, 3.551], [2.618, -2.757, 3.551], [2.618, 2.757, -3.551]],
  "species": ["Hf", "Hf", "Mn", "Mn", "Nb", "Nb"],
  "frac_coords": [[0.365, 0.115, 0.250], [0.635, 0.885, 0.750], [0.000, 0.000, 0.500], [0.000, 0.500, 0.000], [0.000, 0.500, 0.500], [0.500, 0.500, 0.000]]
}

(7)
{
  "formula": "Hf2MnNb",
  "functional": "PBE-GGA",
  "state": "optimized geometry",
  "delta_e_f_ev_per_atom": 0.10,
  "e_tot_ev_per_atom": -9.69,
  "de_polymorph_mev_per_atom": 127.4,
  "dos_at_fermi_per_ev_cell": 6.111,
  "lattice": [[0.000, 3.331, 3.331], [3.331, 0.000, 3.331], [3.331, 3.331, 0.000]],
  "species": ["Hf", "Hf", "Mn", "Nb"],
  "frac_coords": [[0.250, 0.250, 0.250], [0.750, 0.750, 0.750], [0.000, 0.000, 0.000], [0.500, 0.500, 0.500]]
}

(8)
{
  "formula": "HfMnNb2",
  "functional": "PBE-GGA",
  "state": "optimized geometry",
  "delta_e_f_ev_per_atom": 0.53,
  "e_tot_ev_per_atom": -9.28,
  "de_polymorph_mev_per_atom": 588.3,
  "dos_at_fermi_per_ev_cell": 9.304,
  "lattice": [[-1.926, 1.926, 10.171], [1.926, -1.926, 10.171], [1.926, 1.926, -10.171]],
  "species": ["Hf", "Hf", "Mn", "Mn", "Nb", "Nb", "Nb", "Nb"],
  "frac_coords": [[0.000, 0.000, 0.000], [0.750, 0.250, 0.500], [0.250, 0.750, 0.500], [0.500, 0.500, 0.000], [0.129, 0.625, 0.004], [0.375, 0.379, 0.504], [0.621, 0.125, 0.996], [0.875, 0.871, 0.496]]
}